A plane-wave DFT calculation with PBE-GGA was carried out for an optimized crystal structure of LiPaBe2O6.

Output
As for the size of the total moment: 0.0 μB/f.u. The value obtained for the uncorrected formation energy is -2417.8 meV/atom.

Cell and atoms, written as CIF:
```
data_LiPaBe2O6
_chemical_formula_sum 'Li2 Pa2 Be4 O12'
_cell_length_a 4.9916
_cell_length_b 6.5419
_cell_length_c 6.5419
_cell_angle_alpha 88.13
_cell_angle_beta 81.38
_cell_angle_gamma 81.38
_space_group_name_H-M_alt 'P 1'
_space_group_IT_number 1
_space_group_name_Hall 'P 1'
loop_
_atom_site_label
_atom_site_type_symbol
_atom_site_fract_x
_atom_site_fract_y
_atom_site_fract_z
Li1 Li 0.2500 0.9259 0.0741
Li2 Li 0.7500 0.0741 0.9259
Pa1 Pa 0.2500 0.2866 0.7134
Pa2 Pa 0.7500 0.7134 0.2866
Be1 Be 0.1845 0.7897 0.6227
Be2 Be 0.3155 0.3773 0.2103
Be3 Be 0.8155 0.2103 0.3773
Be4 Be 0.6845 0.6227 0.7897
O1 O 0.1344 0.9848 0.7738
O2 O 0.3656 0.2262 0.0152
O3 O 0.8656 0.0152 0.2262
O4 O 0.6344 0.7738 0.9848
O5 O 0.3498 0.8542 0.3977
O6 O 0.1502 0.6023 0.1458
O7 O 0.6502 0.1458 0.6023
O8 O 0.8498 0.3977 0.8542
O9 O 0.8969 0.7051 0.5961
O10 O 0.6031 0.4039 0.2949
O11 O 0.1031 0.2949 0.4039
O12 O 0.3969 0.5961 0.7051
```


A plane-wave DFT calculation with PBE-GGA was carried out for an optimized crystal structure of LiPa2BeO8.

Output
As for the size of the total moment: 2.0 μB/f.u. The value obtained for the uncorrected formation energy is -2243.7 meV/atom.

Cell and atoms, written as CIF:
```
data_LiPa2BeO8
_chemical_formula_sum 'Li1 Pa2 Be1 O8'
_cell_length_a 4.7527
_cell_length_b 4.7527
_cell_length_c 7.8391
_cell_angle_alpha 90.00
_cell_angle_beta 90.00
_cell_angle_gamma 120.00
_space_group_name_H-M_alt 'P 1'
_space_group_IT_number 1
_space_group_name_Hall 'P 1'
loop_
_atom_site_label
_atom_site_type_symbol
_atom_site_fract_x
_atom_site_fract_y
_atom_site_fract_z
Li1 Li 0.0000 0.0000 0.5000
Pa1 Pa 0.6667 0.3333 0.1683
Pa2 Pa 0.3333 0.6667 0.8317
Be1 Be 0.0000 0.0000 0.0000
O1 O 0.8338 0.6676 0.8569
O2 O 0.3324 0.1662 0.8569
O3 O 0.8338 0.1662 0.8569
O4 O 0.1662 0.3324 0.1431
O5 O 0.6676 0.8338 0.1431
O6 O 0.1662 0.8338 0.1431
O7 O 0.6667 0.3333 0.4102
O8 O 0.3333 0.6667 0.5898
```


A plane-wave DFT calculation with PBE-GGA was carried out for an optimized crystal structure of Li4BePd3O8.

Output
As for the size of the total moment: 1.9 μB/f.u. The value obtained for the uncorrected formation energy is -1175.2 meV/atom.

Cell and atoms, written as CIF:
```
data_Li4BePd3O8
_chemical_formula_sum 'Li4 Be1 Pd3 O8'
_cell_length_a 5.9783
_cell_length_b 6.0813
_cell_length_c 6.0058
_cell_angle_alpha 121.16
_cell_angle_beta 119.85
_cell_angle_gamma 90.00
_space_group_name_H-M_alt 'P 1'
_space_group_IT_number 1
_space_group_name_Hall 'P 1'
loop_
_atom_site_label
_atom_site_type_symbol
_atom_site_fract_x
_atom_site_fract_y
_atom_site_fract_z
Li1 Li 0.5000 0.0000 0.0000
Li2 Li 0.5000 0.0000 0.5000
Li3 Li 0.0000 0.0000 0.0000
Li4 Li 0.0000 0.0000 0.5000
Be1 Be 0.0000 0.5000 0.0000
Pd1 Pd 0.5000 0.5000 0.0000
Pd2 Pd 0.5000 0.5000 0.5000
Pd3 Pd 0.0000 0.5000 0.5000
O1 O 0.2248 0.7091 0.9911
O2 O 0.2457 0.7266 0.4914
O3 O 0.2578 0.2265 0.5155
O4 O 0.7663 0.7091 0.9911
O5 O 0.2337 0.2909 0.0089
O6 O 0.7422 0.7735 0.4845
O7 O 0.7543 0.2734 0.5086
O8 O 0.7752 0.2909 0.0089
```


A plane-wave DFT calculation with PBE-GGA was carried out for an optimized crystal structure of LiPm2BeO5.

Output
As for the size of the total moment: 1.0 μB/f.u. The value obtained for the uncorrected formation energy is -2647.2 meV/atom.

Cell and atoms, written as CIF:
```
data_LiPm2BeO5
_chemical_formula_sum 'Li2 Pm4 Be2 O10'
_cell_length_a 3.2816
_cell_length_b 6.8702
_cell_length_c 9.3674
_cell_angle_alpha 90.00
_cell_angle_beta 90.00
_cell_angle_gamma 103.82
_space_group_name_H-M_alt 'P 1'
_space_group_IT_number 1
_space_group_name_Hall 'P 1'
loop_
_atom_site_label
_atom_site_type_symbol
_atom_site_fract_x
_atom_site_fract_y
_atom_site_fract_z
Li1 Li 0.7970 0.5941 0.5161
Li2 Li 0.2030 0.4059 0.0161
Pm1 Pm 0.8681 0.7363 0.8211
Pm2 Pm 0.1192 0.2383 0.6912
Pm3 Pm 0.1319 0.2637 0.3211
Pm4 Pm 0.8808 0.7617 0.1912
Be1 Be 0.5622 0.1245 0.9417
Be2 Be 0.4378 0.8755 0.4417
O1 O 0.3516 0.7033 0.0121
O2 O 0.6785 0.3570 0.8724
O3 O 0.4998 0.9996 0.7856
O4 O 0.2959 0.5918 0.6759
O5 O 0.9583 0.9165 0.5078
O6 O 0.6484 0.2967 0.5121
O7 O 0.3215 0.6430 0.3724
O8 O 0.5002 0.0004 0.2856
O9 O 0.7041 0.4082 0.1759
O10 O 0.0417 0.0835 0.0078
```


A plane-wave DFT calculation with PBE-GGA was carried out for an optimized crystal structure of LiPmBe2O4.

Output
As for the size of the total moment: 0.0 μB/f.u. The value obtained for the uncorrected formation energy is -2444.5 meV/atom.

Cell and atoms, written as CIF:
```
data_LiPmBe2O4
_chemical_formula_sum 'Li1 Pm1 Be2 O4'
_cell_length_a 5.1168
_cell_length_b 4.8439
_cell_length_c 4.8439
_cell_angle_alpha 69.90
_cell_angle_beta 58.12
_cell_angle_gamma 58.12
_space_group_name_H-M_alt 'P 1'
_space_group_IT_number 1
_space_group_name_Hall 'P 1'
loop_
_atom_site_label
_atom_site_type_symbol
_atom_site_fract_x
_atom_site_fract_y
_atom_site_fract_z
Li1 Li 0.5000 0.5000 0.5000
Pm1 Pm 0.0000 0.0000 0.0000
Be1 Be 0.2135 0.2865 0.2865
Be2 Be 0.7865 0.7135 0.7135
O1 O 0.4255 0.1375 0.4631
O2 O 0.0261 0.8625 0.5369
O3 O 0.9739 0.4631 0.1375
O4 O 0.5745 0.5369 0.8625
```


A plane-wave DFT calculation with PBE-GGA was carried out for an optimized crystal structure of LiPr2Be2O6.

Output
As for the size of the total moment: 0.9 μB/f.u. The value obtained for the uncorrected formation energy is -2470.1 meV/atom.

Cell and atoms, written as CIF:
```
data_LiPr2Be2O6
_chemical_formula_sum 'Li1 Pr2 Be2 O6'
_cell_length_a 5.2917
_cell_length_b 5.2917
_cell_length_c 6.0043
_cell_angle_alpha 63.85
_cell_angle_beta 63.85
_cell_angle_gamma 60.00
_space_group_name_H-M_alt 'P 1'
_space_group_IT_number 1
_space_group_name_Hall 'P 1'
loop_
_atom_site_label
_atom_site_type_symbol
_atom_site_fract_x
_atom_site_fract_y
_atom_site_fract_z
Li1 Li 0.0000 0.0000 0.0000
Pr1 Pr 0.7825 0.7825 0.6526
Pr2 Pr 0.2175 0.2175 0.3474
Be1 Be 0.4242 0.4242 0.7275
Be2 Be 0.5758 0.5758 0.2725
O1 O 0.7427 0.7427 0.2697
O2 O 0.2449 0.7427 0.2697
O3 O 0.7427 0.2449 0.2697
O4 O 0.2573 0.7551 0.7303
O5 O 0.7551 0.2573 0.7303
O6 O 0.2573 0.2573 0.7303
```


A plane-wave DFT calculation with PBE-GGA was carried out for an optimized crystal structure of LiBePtO5.

Output
As for the size of the total moment: 0.0 μB/f.u. The value obtained for the uncorrected formation energy is -1017.9 meV/atom.

Cell and atoms, written as CIF:
```
data_LiBePtO5
_chemical_formula_sum 'Li2 Be2 Pt2 O10'
_cell_length_a 5.3146
_cell_length_b 5.3146
_cell_length_c 6.9488
_cell_angle_alpha 105.84
_cell_angle_beta 105.84
_cell_angle_gamma 109.28
_space_group_name_H-M_alt 'P 1'
_space_group_IT_number 1
_space_group_name_Hall 'P 1'
loop_
_atom_site_label
_atom_site_type_symbol
_atom_site_fract_x
_atom_site_fract_y
_atom_site_fract_z
Li1 Li 0.3520 0.6480 0.2500
Li2 Li 0.6480 0.3520 0.7500
Be1 Be 0.7035 0.2965 0.2500
Be2 Be 0.2965 0.7035 0.7500
Pt1 Pt 0.0000 0.0000 0.5000
Pt2 Pt 0.0000 0.0000 0.0000
O1 O 0.1064 0.8936 0.2500
O2 O 0.8936 0.1064 0.7500
O3 O 0.9680 0.3370 0.1727
O4 O 0.0320 0.6630 0.8273
O5 O 0.6630 0.0320 0.3273
O6 O 0.3370 0.9680 0.6727
O7 O 0.7445 0.5955 0.4293
O8 O 0.2555 0.4045 0.5707
O9 O 0.4045 0.2555 0.0707
O10 O 0.5955 0.7445 0.9293
```


A plane-wave DFT calculation with PBE-GGA was carried out for an optimized crystal structure of Li2BePtO.

Output
As for the size of the total moment: 0.0 μB/f.u. The value obtained for the uncorrected formation energy is -688.7 meV/atom.

Cell and atoms, written as CIF:
```
data_Li2BePtO
_chemical_formula_sum 'Li2 Be1 Pt1 O1'
_cell_length_a 3.4573
_cell_length_b 4.9960
_cell_length_c 3.4573
_cell_angle_alpha 90.00
_cell_angle_beta 90.00
_cell_angle_gamma 90.00
_space_group_name_H-M_alt 'P 1'
_space_group_IT_number 1
_space_group_name_Hall 'P 1'
loop_
_atom_site_label
_atom_site_type_symbol
_atom_site_fract_x
_atom_site_fract_y
_atom_site_fract_z
Be1 Be 0.5000 0.5000 0.5000
O1 O 0.0000 0.0000 0.0000
Pt1 Pt 0.0000 0.5000 0.0000
Li1 Li 0.0000 0.0000 0.5000
Li2 Li 0.5000 0.0000 0.0000
```